{
  "formula": "Tb2PuZr",
  "functional": "PBE-GGA",
  "state": "relaxed",
  "lattice": [[4.796, 0.000, 0.000], [0.000, 4.796, 0.000], [0.000, 0.000, 4.835]],
  "species": ["Tb", "Tb", "Pu", "Zr"],
  "frac_coords": [[0.000, 0.500, 0.000], [0.500, 0.000, 0.000], [0.000, 0.000, 0.500], [0.500, 0.500, 0.500]],
  "de_polymorph_mev_per_atom": 26.8,
  "total_magnetization_mub_per_cell": 5.611,
  "formation_enthalpy_0k_ev_per_atom": 0.179
}